(1)
DFT (PBE-GGA) results for crystalline Cd5Ga3Pb12 at its relaxed geometry.

Structure (CIF):
```
data_Cd5Ga3Pb12
_space_group_name_H-M_alt 'I a -3 d'
_space_group_IT_number 230
_space_group_name_Hall '-I 4bd 2c 3'
_cell_length_a 17.6027
_cell_length_b 17.6027
_cell_length_c 17.6027
_cell_angle_alpha 90.00
_cell_angle_beta 90.00
_cell_angle_gamma 90.00
loop_
_atom_site_label
_atom_site_fract_x
_atom_site_fract_y
_atom_site_fract_z
Cd1 0.0000 0.0000 0.0000
Cd2 0.0000 0.2500 0.3750
Ga1 0.0000 0.2500 0.1250
Pb1 0.0168 0.0852 0.6486
```

Output
ρ   7.9 g cm⁻³
Calculated formation energy   3.6 eV/f.u.
Volume   34.1 A^3/atom

(2)
DFT (PBE-GGA) results for crystalline Cd2GaPb2 at its relaxed geometry.

Structure (CIF):
```
data_Cd2GaPb2
_space_group_name_H-M_alt 'I 4/m m m'
_space_group_IT_number 139
_space_group_name_Hall '-I 4 2'
_cell_length_a 4.0248
_cell_length_b 4.0248
_cell_length_c 17.3179
_cell_angle_alpha 90.00
_cell_angle_beta 90.00
_cell_angle_gamma 90.00
loop_
_atom_site_label
_atom_site_fract_x
_atom_site_fract_y
_atom_site_fract_z
Cd1 0.0000 0.5000 0.2500
Ga1 0.0000 0.0000 0.0000
Pb1 0.0000 0.0000 0.4022
```

Output
Energy above the most stable polymorph in this dataset   41 meV/atom
ρ   8.4 g cm⁻³
Calculated formation energy   0.7 eV/f.u.
Volume   28.1 A^3/atom

(3)
DFT (PBE-GGA) results for crystalline PmCdGaPb at its relaxed geometry.

Structure (CIF):
```
data_PmCdGaPb
_space_group_name_H-M_alt 'F -4 3 m'
_space_group_IT_number 216
_space_group_name_Hall 'F -4 2 3'
_cell_length_a 7.4766
_cell_length_b 7.4766
_cell_length_c 7.4766
_cell_angle_alpha 90.00
_cell_angle_beta 90.00
_cell_angle_gamma 90.00
loop_
_atom_site_label
_atom_site_fract_x
_atom_site_fract_y
_atom_site_fract_z
Pm1 0.0000 0.0000 0.0000
Cd1 0.2500 0.2500 0.7500
Ga1 0.2500 0.2500 0.2500
Pb1 0.0000 0.0000 0.5000
```

Output
ρ   8.5 g cm⁻³
Calculated formation energy   -0.8 eV/f.u.
Volume   26.1 A^3/atom

(4)
DFT (PBE-GGA) results for crystalline CdGaPt2Pb at its relaxed geometry.

Structure (CIF):
```
data_CdGaPt2Pb
_space_group_name_H-M_alt 'P 4/m m m'
_space_group_IT_number 123
_space_group_name_Hall '-P 4 2'
_cell_length_a 5.0842
_cell_length_b 5.0842
_cell_length_c 5.4006
_cell_angle_alpha 90.00
_cell_angle_beta 90.00
_cell_angle_gamma 90.00
loop_
_atom_site_label
_atom_site_fract_x
_atom_site_fract_y
_atom_site_fract_z
Cd1 0.0000 0.0000 0.0000
Ga1 0.5000 0.5000 0.5000
Pt1 0.0000 0.5000 0.0000
Pb1 0.0000 0.0000 0.5000
```

Output
ρ   9.3 g cm⁻³
Calculated formation energy   4.4 eV/f.u.
Volume   27.9 A^3/atom

(5)
DFT (PBE-GGA) results for crystalline Rb2Cd3GaPb4 at its relaxed geometry.

Structure (CIF):
```
data_Rb2Cd3GaPb4
_space_group_name_H-M_alt 'P -4 m 2'
_space_group_IT_number 115
_space_group_name_Hall 'P -4 -2'
_cell_length_a 5.0367
_cell_length_b 5.0367
_cell_length_c 13.0023
_cell_angle_alpha 90.00
_cell_angle_beta 90.00
_cell_angle_gamma 90.00
loop_
_atom_site_label
_atom_site_fract_x
_atom_site_fract_y
_atom_site_fract_z
Rb1 0.0000 0.5000 0.2414
Cd1 0.0000 0.0000 0.0000
Cd2 0.0000 0.5000 0.6429
Ga1 0.5000 0.5000 0.0000
Pb1 0.0000 0.0000 0.5000
Pb2 0.0000 0.5000 0.8724
Pb3 0.5000 0.5000 0.5000
```

Output
ρ   7.1 g cm⁻³
Calculated formation energy   -0.8 eV/f.u.
Volume   33.0 A^3/atom

(6)
DFT (PBE-GGA) results for crystalline RbCd2GaPb4 at its relaxed geometry.

Structure (CIF):
```
data_RbCd2GaPb4
_space_group_name_H-M_alt 'R -3 m'
_space_group_IT_number 166
_space_group_name_Hall '-R 3 2"'
_cell_length_a 5.4397
_cell_length_b 5.4397
_cell_length_c 30.8840
_cell_angle_alpha 90.00
_cell_angle_beta 90.00
_cell_angle_gamma 120.00
loop_
_atom_site_label
_atom_site_fract_x
_atom_site_fract_y
_atom_site_fract_z
Rb1 0.0000 0.0000 0.0000
Cd1 0.0000 0.0000 0.2466
Ga1 0.0000 0.0000 0.5000
Pb1 0.0000 0.0000 0.1348
Pb2 0.0000 0.0000 0.4094
```

Output
ρ   7.6 g cm⁻³
Calculated formation energy   0.0 eV/f.u.
Volume   33.0 A^3/atom

(7)
DFT (PBE-GGA) results for crystalline Cd2GaSbPb at its relaxed geometry.

Structure (CIF):
```
data_Cd2GaSbPb
_space_group_name_H-M_alt 'P 4/m m m'
_space_group_IT_number 123
_space_group_name_Hall '-P 4 2'
_cell_length_a 5.6454
_cell_length_b 5.6454
_cell_length_c 5.9648
_cell_angle_alpha 90.00
_cell_angle_beta 90.00
_cell_angle_gamma 90.00
loop_
_atom_site_label
_atom_site_fract_x
_atom_site_fract_y
_atom_site_fract_z
Cd1 0.0000 0.5000 0.0000
Ga1 0.0000 0.0000 0.5000
Sb1 0.5000 0.5000 0.0000
Pb1 0.5000 0.5000 0.5000
```

Output
Formation energy without anion corrections   0.54 eV per atom
ρ   5.4 g cm⁻³
Volume   38.0 A^3/atom

(8)
DFT (PBE-GGA) results for crystalline CdGaSbPb at its relaxed geometry.

Structure (CIF):
```
data_CdGaSbPb
_space_group_name_H-M_alt 'F -4 3 m'
_space_group_IT_number 216
_space_group_name_Hall 'F -4 2 3'
_cell_length_a 7.5663
_cell_length_b 7.5663
_cell_length_c 7.5663
_cell_angle_alpha 90.00
_cell_angle_beta 90.00
_cell_angle_gamma 90.00
loop_
_atom_site_label
_atom_site_fract_x
_atom_site_fract_y
_atom_site_fract_z
Cd1 0.0000 0.0000 0.0000
Ga1 0.2500 0.2500 0.7500
Sb1 0.0000 0.0000 0.5000
Pb1 0.2500 0.2500 0.2500
```

Output
Formation energy without anion corrections   0.15 eV per atom
ρ   7.8 g cm⁻³
Volume   27.1 A^3/atom

(9)
DFT (PBE-GGA) results for crystalline CdGaSnPb at its relaxed geometry.

Structure (CIF):
```
data_CdGaSnPb
_space_group_name_H-M_alt 'F -4 3 m'
_space_group_IT_number 216
_space_group_name_Hall 'F -4 2 3'
_cell_length_a 7.4293
_cell_length_b 7.4293
_cell_length_c 7.4293
_cell_angle_alpha 90.00
_cell_angle_beta 90.00
_cell_angle_gamma 90.00
loop_
_atom_site_label
_atom_site_fract_x
_atom_site_fract_y
_atom_site_fract_z
Cd1 0.0000 0.0000 0.0000
Ga1 0.0000 0.0000 0.5000
Sn1 0.2500 0.2500 0.2500
Pb1 0.2500 0.2500 0.7500
```

Output
ρ   8.2 g cm⁻³
Calculated formation energy   0.3 eV/f.u.
Volume   25.6 A^3/atom

(10)
DFT (PBE-GGA) results for crystalline SrCdGaPb at its relaxed geometry.

Structure (CIF):
```
data_SrCdGaPb
_space_group_name_H-M_alt 'F -4 3 m'
_space_group_IT_number 216
_space_group_name_Hall 'F -4 2 3'
_cell_length_a 7.6662
_cell_length_b 7.6662
_cell_length_c 7.6662
_cell_angle_alpha 90.00
_cell_angle_beta 90.00
_cell_angle_gamma 90.00
loop_
_atom_site_label
_atom_site_fract_x
_atom_site_fract_y
_atom_site_fract_z
Sr1 0.0000 0.0000 0.0000
Cd1 0.2500 0.2500 0.7500
Ga1 0.2500 0.2500 0.2500
Pb1 0.0000 0.0000 0.5000
```

Output
ρ   7.0 g cm⁻³
Calculated formation energy   -0.8 eV/f.u.
Volume   28.2 A^3/atom

(11)
DFT (PBE-GGA) results for crystalline VCdGaPb2 at its relaxed geometry.

Structure (CIF):
```
data_VCdGaPb2
_space_group_name_H-M_alt 'P 4/m m m'
_space_group_IT_number 123
_space_group_name_Hall '-P 4 2'
_cell_length_a 5.4467
_cell_length_b 5.4467
_cell_length_c 4.9616
_cell_angle_alpha 90.00
_cell_angle_beta 90.00
_cell_angle_gamma 90.00
loop_
_atom_site_label
_atom_site_fract_x
_atom_site_fract_y
_atom_site_fract_z
V1 0.0000 0.0000 0.0000
Cd1 0.5000 0.5000 0.0000
Ga1 0.0000 0.0000 0.5000
Pb1 0.0000 0.5000 0.5000
```

Output
ρ   7.3 g cm⁻³
Calculated formation energy   3.4 eV/f.u.
Volume   29.4 A^3/atom

(12)
DFT (PBE-GGA) results for crystalline ZnCdGaPb at its relaxed geometry.

Structure (CIF):
```
data_ZnCdGaPb
_space_group_name_H-M_alt 'F -4 3 m'
_space_group_IT_number 216
_space_group_name_Hall 'F -4 2 3'
_cell_length_a 7.1714
_cell_length_b 7.1714
_cell_length_c 7.1714
_cell_angle_alpha 90.00
_cell_angle_beta 90.00
_cell_angle_gamma 90.00
loop_
_atom_site_label
_atom_site_fract_x
_atom_site_fract_y
_atom_site_fract_z
Zn1 0.0000 0.0000 0.0000
Cd1 0.2500 0.2500 0.2500
Ga1 0.0000 0.0000 0.5000
Pb1 0.2500 0.2500 0.7500
```

Output
ρ   8.2 g cm⁻³
Calculated formation energy   0.7 eV/f.u.
Volume   23.1 A^3/atom